VASP calculation (PBE-GGA) on a geometry-optimized SmGdThSc structure.

```
SmGdThSc
1.0
5.5782 0.0000 0.0000
2.7891 4.8309 0.0000
2.7891 1.6103 4.5546
Gd Th Sc Sm
1 1 1 1
Cartesian
2.7891 1.6103 1.1387
5.5782 3.2206 2.2773
8.3674 4.8309 3.4160
0.0000 0.0000 0.0000
```

total DFT energy (no corrections): -8.012 eV per atom
energy of formation from the pure elements: 49 kJ/mol of formula units
crystal system: cubic
total magnetization: 7.39 μB per formula unit

=====

VASP calculation (PBE-GGA) on a geometry-optimized SmGdTmSc structure.

```
SmGdTmSc
1.0
-4.5969 -1.3710 2.7826
-2.0627 -5.1314 -0.4097
0.3031 -3.4634 4.3205
Gd Sc Sm Tm
1 1 1 1
Cartesian
-4.7673 -7.4744 5.0200
0.0000 0.0000 0.0000
-1.5891 -2.4915 1.6733
-3.1782 -4.9829 3.3467
```

total DFT energy (no corrections): -7.307 eV per atom
energy of formation from the pure elements: 36 kJ/mol of formula units
crystal system: cubic
total magnetization: 7.28 μB per formula unit

=====

VASP calculation (PBE-GGA) on a geometry-optimized SmGdYSc structure.

```
SmGdYSc
1.0
-5.4752 -1.0936 0.2041
-2.8183 -1.0410 -4.7105
-1.8593 -5.1609 -1.0604
Sm Gd Sc Y
1 1 1 1
Cartesian
0.0000 0.0000 0.0000
-2.5382 -1.8239 -1.3917
-7.6147 -5.4717 -4.1751
-5.0765 -3.6478 -2.7834
```

total DFT energy (no corrections): -7.771 eV per atom
energy of formation from the pure elements: 49 kJ/mol of formula units
crystal system: cubic
total magnetization: 8.16 μB per formula unit

=====

VASP calculation (PBE-GGA) on a geometry-optimized SmGdScZn structure.

```
SmGdScZn
1.0
-1.5208 2.2926 -4.4938
-5.1292 0.5762 -1.0593
-2.1879 4.7923 0.0964
Sm Zn Sc Gd
1 1 1 1
Cartesian
-2.2095 1.9153 -1.3642
0.0000 0.0000 0.0000
-4.4189 3.8306 -2.7283
-6.6284 5.7459 -4.0925
```

total DFT energy (no corrections): -6.616 eV per atom
energy of formation from the pure elements: -6 kJ/mol of formula units
crystal system: cubic
total magnetization: 7.47 μB per formula unit

=====

VASP calculation (PBE-GGA) on a geometry-optimized Gd2ScSn structure.

```
Gd2ScSn
1.0
4.1253 0.0000 0.0000
0.0000 4.1253 0.0000
0.0000 0.0000 6.4793
Sc Gd Sn
1 2 1
Cartesian
2.0626 2.0626 0.0000
0.0000 0.0000 1.6845
0.0000 0.0000 4.7947
2.0626 2.0626 3.2396
```

total DFT energy (no corrections): -9.998 eV per atom
energy of formation from the pure elements: -144 kJ/mol of formula units
crystal system: tetragonal
total magnetization: 15.00 μB per formula unit
excess energy over the best structure of this formula in the dataset: 54 meV/atom

=====

VASP calculation (PBE-GGA) on a geometry-optimized Gd2ScSn structure.

```
Gd2ScSn
1.0
4.7470 0.0000 0.0000
0.0000 4.7531 0.0000
0.0000 0.0000 4.7531
Sn Gd Sc
1 2 1
Cartesian
2.3735 0.0000 0.0000
0.0000 0.0000 2.3766
0.0000 2.3766 0.0000
2.3735 2.3766 2.3766
```

total DFT energy (no corrections): -10.052 eV per atom
energy of formation from the pure elements: -165 kJ/mol of formula units
crystal system: tetragonal
total magnetization: 15.69 μB per formula unit
excess energy over the best structure of this formula in the dataset: 0 meV/atom

=====

VASP calculation (PBE-GGA) on a geometry-optimized Gd2ScSn structure.

```
Gd2ScSn
1.0
5.3507 0.0000 0.0000
2.6754 4.6338 0.0000
2.6754 1.5446 4.3688
Gd Sn Sc
2 1 1
Cartesian
8.0261 4.6338 3.2766
2.6754 1.5446 1.0922
5.3507 3.0892 2.1844
0.0000 0.0000 0.0000
```

total DFT energy (no corrections): -9.906 eV per atom
energy of formation from the pure elements: -109 kJ/mol of formula units
crystal system: cubic
total magnetization: 15.54 μB per formula unit
excess energy over the best structure of this formula in the dataset: 146 meV/atom

=====

VASP calculation (PBE-GGA) on a geometry-optimized Gd2ScSn structure.

```
Gd2ScSn
1.0
3.4498 0.0000 0.0000
1.7249 2.9876 0.0000
1.7249 0.9959 11.7045
Gd Sn Sc
2 1 1
Cartesian
5.1747 2.9876 3.1526
1.7249 0.9959 8.5519
0.0000 0.0000 0.0000
3.4498 1.9917 5.8522
```

total DFT energy (no corrections): -9.556 eV per atom
energy of formation from the pure elements: 26 kJ/mol of formula units
crystal system: trigonal
total magnetization: 14.35 μB per formula unit
excess energy over the best structure of this formula in the dataset: 496 meV/atom

=====

VASP calculation (PBE-GGA) on a geometry-optimized GdTmScSn structure.

```
GdTmScSn
1.0
-5.0769 -0.2172 -1.3435
-3.0733 -3.7943 1.9455
-3.7069 1.1751 3.5362
Sc Tm Gd Sn
1 1 1 1
Cartesian
-2.9643 -0.7091 1.0346
-8.8929 -2.1273 3.1037
-5.9286 -1.4182 2.0691
0.0000 0.0000 0.0000
```

total DFT energy (no corrections): -7.468 eV per atom
energy of formation from the pure elements: -95 kJ/mol of formula units
crystal system: cubic
total magnetization: 8.80 μB per formula unit

=====

VASP calculation (PBE-GGA) on a geometry-optimized SrGd2Sc structure.

```
SrGd2Sc
1.0
-1.3607 2.1450 2.9274
-1.7572 -3.1249 1.4730
7.6163 -1.9431 4.9638
Gd Sc Sr
2 1 1
Cartesian
1.4909 -0.3804 0.9717
6.1254 -1.5627 3.9921
-1.5589 -0.4899 2.2002
2.2492 -1.4615 4.6821
```

total DFT energy (no corrections): -8.937 eV per atom
energy of formation from the pure elements: 41 kJ/mol of formula units
crystal system: tetragonal
total magnetization: 14.69 μB per formula unit
excess energy over the best structure of this formula in the dataset: 0 meV/atom

=====

VASP calculation (PBE-GGA) on a geometry-optimized SrGdSc structure.

```
SrGdSc
1.0
-2.1561 3.0451 -0.4147
-0.7979 -1.0439 -3.5167
-4.4384 -4.8506 4.4507
Gd Sc Sr
1 1 1
Cartesian
-3.6826 -2.3968 1.5470
-3.6166 -0.3919 -1.0669
-0.0933 -0.0607 0.0392
```

total DFT energy (no corrections): -7.182 eV per atom
energy of formation from the pure elements: 53 kJ/mol of formula units
crystal system: tetragonal
total magnetization: 7.62 μB per formula unit

=====

VASP calculation (PBE-GGA) on a geometry-optimized SrGd2Sc structure.

```
SrGd2Sc
1.0
-3.0289 0.8885 1.6729
-3.1379 -0.3816 -1.6643
-3.0036 -11.4409 4.4522
Gd Sc Sr
2 1 1
Cartesian
-6.4379 -2.8129 1.2809
-2.7325 -8.1211 3.1800
-4.5852 -5.4670 2.2304
0.0000 0.0000 0.0000
```

total DFT energy (no corrections): -8.799 eV per atom
energy of formation from the pure elements: 94 kJ/mol of formula units
crystal system: trigonal
total magnetization: 14.81 μB per formula unit
excess energy over the best structure of this formula in the dataset: 137 meV/atom